[1]
# Gd2AsPt8

Crystalline Gd2AsPt8 at its relaxed geometry (PBE, the Open Quantum Materials Database).

The value obtained for the final energy is -142.2 eV per cell.

It has space group Amm2 (No. 38), with a = 4.298 Å, b = 17.415 Å, c = 5.478 Å, α = 90.00°, β = 90.00° and γ = 90.00°. The asymmetric unit holds Gd at (0.000, 0.127, 0.000), As at (0.500, 0.000, 0.731), Pt at (0.000, 0.000, 0.483), Pt at (0.000, 0.202, 0.489), Pt at (0.500, 0.000, 0.148), Pt at (0.500, 0.113, 0.488) and Pt at (0.500, 0.247, 0.230).

---

[2]
# LiMg2Au

Crystalline LiMg2Au at its relaxed geometry (PBE, the Open Quantum Materials Database).

The value obtained for the final energy is -39.0 eV per cell.

It has space group F-43m (No. 216), with a = 6.566 Å, b = 6.566 Å, c = 6.566 Å, α = 90.00°, β = 90.00° and γ = 90.00°. The asymmetric unit holds Li at (0.000, 0.000, 0.000), Mg at (0.000, 0.000, 0.500), Mg at (0.250, 0.250, 0.750) and Au at (0.250, 0.250, 0.250).

---

[3]
# NdErTe6

Crystalline NdErTe6 at its relaxed geometry (PBE, the Open Quantum Materials Database).

The value obtained for the final energy is -71.3 eV per cell.

It has space group Amm2 (No. 38), with a = 4.350 Å, b = 4.349 Å, c = 26.612 Å, α = 90.00°, β = 90.00° and γ = 90.00°. The asymmetric unit holds Nd at (0.000, 0.000, 0.000), Er at (0.500, 0.000, 0.342), Te at (0.000, 0.000, 0.248), Te at (0.000, 0.000, 0.597), Te at (0.000, 0.000, 0.876), Te at (0.500, 0.000, 0.097), Te at (0.500, 0.000, 0.462) and Te at (0.500, 0.000, 0.748).

---

[4]
# TbPuSbI2

Crystalline TbPuSbI2 at its relaxed geometry (PBE, the Open Quantum Materials Database).

The value obtained for the final energy is -31.7 eV per cell.

It has space group P3m1 (No. 156), with a = 4.3844 Å, b = 4.3844 Å, c = 11.3709 Å, α = 90.00°, β = 90.00° and γ = 120.00°. The asymmetric unit holds Tb at (0.0000, 0.0000, 0.0000), Pu at (0.3333, 0.6667, 0.3096), Sb at (0.6667, 0.3333, 0.1494), I at (0.0000, 0.0000, 0.4780) and I at (0.3333, 0.6667, 0.8305).

---

[5]
# NbAlFe

Crystalline NbAlFe at its relaxed geometry (PBE, the Open Quantum Materials Database).

The value obtained for the final energy is -88.5 eV per cell.

It has space group F-43m (No. 216), with a = 5.786 Å, b = 5.786 Å, c = 5.786 Å, α = 90.00°, β = 90.00° and γ = 90.00°. The asymmetric unit holds Nb at (0.000, 0.000, 0.000), Al at (0.000, 0.000, 0.500) and Fe at (0.250, 0.250, 0.750).

---

[6]
# HoBiB4

Crystalline HoBiB4 at its relaxed geometry (PBE, the Open Quantum Materials Database).

The value obtained for the final energy is -69.6 eV per cell.

It has space group Immm (No. 71), with a = 3.210 Å, b = 5.371 Å, c = 8.719 Å, α = 90.00°, β = 90.00° and γ = 90.00°. The asymmetric unit holds Ho at (0.000, 0.000, 0.000), Bi at (0.000, 0.000, 0.500) and B at (0.000, 0.326, 0.260).

---

[7]
# ZrTe2

Crystalline ZrTe2 at its relaxed geometry (PBE, the Open Quantum Materials Database).

The value obtained for the final energy is -17.5 eV per cell.

It has space group P-3m1 (No. 164), with a = 3.9633 Å, b = 3.9633 Å, c = 6.9822 Å, α = 90.00°, β = 90.00° and γ = 120.00°. The asymmetric unit holds Zr at (0.0000, 0.0000, 0.0000) and Te at (0.3333, 0.6667, 0.2595).

---

[8]
# BaSmB

Crystalline BaSmB at its relaxed geometry (PBE, the Open Quantum Materials Database).

The value obtained for the final energy is -36.9 eV per cell.

It has space group F-43m (No. 216), with a = 6.895 Å, b = 6.895 Å, c = 6.895 Å, α = 90.00°, β = 90.00° and γ = 90.00°. The asymmetric unit holds Ba at (0.000, 0.000, 0.000), Sm at (0.250, 0.250, 0.250) and B at (0.250, 0.250, 0.750).

---

[9]
# SmHoTlPd2

Crystalline SmHoTlPd2 at its relaxed geometry (PBE, the Open Quantum Materials Database).

The value obtained for the final energy is -51.6 eV per cell.

It has space group Amm2 (No. 38), with a = 3.691 Å, b = 4.157 Å, c = 15.123 Å, α = 90.00°, β = 90.00° and γ = 90.00°. The asymmetric unit holds Sm at (0.000, 0.000, 0.000), Ho at (0.000, 0.000, 0.732), Tl at (0.500, 0.000, 0.366), Pd at (0.500, 0.000, 0.178) and Pd at (0.500, 0.000, 0.560).

---

[10]
# Nd2Dy2CI2Br3

Crystalline Nd2Dy2CI2Br3 at its relaxed geometry (PBE, the Open Quantum Materials Database).

The value obtained for the final energy is -98.2 eV per cell.

It has space group C2/m (No. 12), with a = 19.015 Å, b = 3.960 Å, c = 8.442 Å, α = 90.00°, β = 102.50° and γ = 90.00°. The asymmetric unit holds Nd at (0.000, 0.000, 0.206), Dy at (0.130, 0.500, 0.069), C at (0.000, 0.500, 0.000), I at (0.172, 0.000, 0.826), Br at (0.000, 0.500, 0.500) and Br at (0.161, 0.000, 0.322).

---

[11]
# TmSbN2O

Crystalline TmSbN2O at its relaxed geometry (PBE, the Open Quantum Materials Database).

The value obtained for the final energy is -33.0 eV per cell.

It has space group P4/mmm (No. 123), with a = 4.005 Å, b = 4.005 Å, c = 3.908 Å, α = 90.00°, β = 90.00° and γ = 90.00°. The asymmetric unit holds Tm at (0.000, 0.000, 0.000), Sb at (0.500, 0.500, 0.500), N at (0.000, 0.500, 0.500) and O at (0.500, 0.500, 0.000).

---

[12]
# ErTm2Ag4Ge4

Crystalline ErTm2Ag4Ge4 at its relaxed geometry (PBE, the Open Quantum Materials Database).

The value obtained for the final energy is -97.4 eV per cell.

It has space group Immm (No. 71), with a = 4.296 Å, b = 7.140 Å, c = 14.407 Å, α = 90.00°, β = 90.00° and γ = 90.00°. The asymmetric unit holds Er at (0.000, 0.000, 0.000), Tm at (0.000, 0.500, 0.125), Ag at (0.000, 0.301, 0.330), Ge at (0.000, 0.000, 0.217) and Ge at (0.000, 0.184, 0.500).

---

[13]
# CsCuAs

Crystalline CsCuAs at its relaxed geometry (PBE, the Open Quantum Materials Database).

The value obtained for the final energy is -29.9 eV per cell.

It has space group F-43m (No. 216), with a = 7.147 Å, b = 7.147 Å, c = 7.147 Å, α = 90.00°, β = 90.00° and γ = 90.00°. The asymmetric unit holds Cs at (0.000, 0.000, 0.000), Cu at (0.250, 0.250, 0.750) and As at (0.000, 0.000, 0.500).

---

[14]
# Ho2AgPd2

Crystalline Ho2AgPd2 at its relaxed geometry (PBE, the Open Quantum Materials Database).

The value obtained for the final energy is -52.4 eV per cell.

It has space group P4/mbm (No. 127), with a = 7.610 Å, b = 7.610 Å, c = 3.673 Å, α = 90.00°, β = 90.00° and γ = 90.00°. The asymmetric unit holds Ho at (0.171, 0.329, 0.000), Ag at (0.000, 0.000, 0.500) and Pd at (0.130, 0.630, 0.500).

---

[15]
# ScAlNi2

Crystalline ScAlNi2 at its relaxed geometry (PBE, the Open Quantum Materials Database).

The value obtained for the final energy is -93.4 eV per cell.

It has space group Pnma (No. 62), with a = 6.606 Å, b = 6.459 Å, c = 5.492 Å, α = 90.00°, β = 90.00° and γ = 90.00°. The asymmetric unit holds Sc at (0.026, 0.250, 0.169), Al at (0.109, 0.750, 0.333) and Ni at (0.190, 0.052, 0.562).

---

[16]
# GdPdO3

Crystalline GdPdO3 at its relaxed geometry (PBE, the Open Quantum Materials Database).

The value obtained for the final energy is -137.5 eV per cell.

It has space group Pnma (No. 62), with a = 5.911 Å, b = 7.558 Å, c = 5.423 Å, α = 90.00°, β = 90.00° and γ = 90.00°. The asymmetric unit holds Gd at (0.084, 0.250, 0.029), Pd at (0.000, 0.000, 0.500), O at (0.054, 0.750, 0.364) and O at (0.190, 0.559, 0.819).

---

[17]
# YZnCu2

Crystalline YZnCu2 at its relaxed geometry (PBE, the Open Quantum Materials Database).

The value obtained for the final energy is -62.8 eV per cell.

It has space group F-43m (No. 216), with a = 6.452 Å, b = 6.452 Å, c = 6.452 Å, α = 90.00°, β = 90.00° and γ = 90.00°. The asymmetric unit holds Y at (0.000, 0.000, 0.000), Zn at (0.250, 0.250, 0.750), Cu at (0.000, 0.000, 0.500) and Cu at (0.250, 0.250, 0.250).

---

[18]
# TaFeCuSn

Crystalline TaFeCuSn at its relaxed geometry (PBE, the Open Quantum Materials Database).

The value obtained for the final energy is -105.7 eV per cell.

It has space group F-43m (No. 216), with a = 6.335 Å, b = 6.335 Å, c = 6.335 Å, α = 90.00°, β = 90.00° and γ = 90.00°. The asymmetric unit holds Ta at (0.000, 0.000, 0.000), Fe at (0.000, 0.000, 0.500), Cu at (0.250, 0.250, 0.750) and Sn at (0.250, 0.250, 0.250).

---

[19]
# Pr2YNiSn3Pt2

Crystalline Pr2YNiSn3Pt2 at its relaxed geometry (PBE, the Open Quantum Materials Database).

The value obtained for the final energy is -108.3 eV per cell.

It has space group Amm2 (No. 38), with a = 4.035 Å, b = 13.187 Å, c = 7.626 Å, α = 90.00°, β = 90.00° and γ = 90.00°. The asymmetric unit holds Pr at (0.000, 0.204, 0.000), Y at (0.000, 0.000, 0.390), Ni at (0.000, 0.000, 0.791), Sn at (0.500, 0.000, 0.041), Sn at (0.500, 0.121, 0.671) and Pt at (0.500, 0.162, 0.298).

---

[20]
# TaBi

Crystalline TaBi at its relaxed geometry (PBE, the Open Quantum Materials Database).

The value obtained for the final energy is -54.8 eV per cell.

It has space group Fm-3m (No. 225), with a = 5.807 Å, b = 5.807 Å, c = 5.807 Å, α = 90.00°, β = 90.00° and γ = 90.00°. The asymmetric unit holds Ta at (0.000, 0.000, 0.000) and Bi at (0.000, 0.000, 0.500).